Material: Al2O3
Method: DFT, GGA-PBE
State: relaxed

a b c (Å): 5.158 2.814 7.665
angles (deg): 90.00 103.04 90.00
Space group C2/m (No. 12)
Symmetry-distinct sites (fractional):
Al  0.064  0.000  0.315 x4
O  0.000  0.500  0.500 x2
O  0.210  0.500  0.225 x4

## Properties
The calculated density is 3.1 g/cm³. For the raw formation energy, the calculation gives -2.823 eV/atom. The raw total energy is -7.295 eV per atom.



Material: KLiSe2
Method: DFT, GGA-PBE
State: relaxed

a b c (Å): 3.600 5.162 10.848
angles (deg): 90.00 90.00 90.00
Space group Imm2 (No. 44)
Symmetry-distinct sites (fractional):
K  0.000  0.000  0.000 x2
Li  0.000  0.500  0.802 x2
Se  0.000  0.000  0.490 x2
Se  0.000  0.500  0.207 x2

## Properties
The calculated density is 3.4 g/cm³. For the raw formation energy, the calculation gives -0.520 eV/atom. The raw total energy is -3.015 eV per atom.



Material: Na3Ga5Au2
Method: DFT, GGA-PBE
State: relaxed

a b c (Å): 11.849 12.238 6.008
angles (deg): 90.00 90.00 90.00
Space group Ibam (No. 72)
Symmetry-distinct sites (fractional):
Na  0.000  0.000  0.250 x4
Na  0.249  0.117  0.000 x8
Ga  0.000  0.255  0.250 x8
Ga  0.000  0.500  0.250 x4
Ga  0.139  0.381  0.000 x8
Au  0.151  0.153  0.500 x8

## Properties
The calculated density is 6.2 g/cm³. The raw total energy is -2.796 eV per atom.



Material: KFeCo
Method: DFT, GGA-PBE
State: relaxed

a b c (Å): 4.064 4.626 9.486
angles (deg): 92.60 90.51 90.03
Space group P-1 (No. 2)
Symmetry-distinct sites (fractional):
K  0.246  0.272  0.207 x2
Fe  0.252  0.125  0.555 x2
Co  0.250  0.637  0.498 x2

## Properties
The calculated density is 2.9 g/cm³. The raw total energy is -5.022 eV per atom.



Material: EuMgAlTl
Method: DFT, GGA-PBE
State: relaxed

a b c (Å): 7.389 7.389 7.389
angles (deg): 90.00 90.00 90.00
Space group F-43m (No. 216)
Symmetry-distinct sites (fractional):
Eu  0.000  0.000  0.000 x4
Mg  0.000  0.000  0.500 x4
Al  0.250  0.250  0.750 x4
Tl  0.250  0.250  0.250 x4

## Properties
The calculated density is 6.7 g/cm³. The raw total energy is -4.698 eV per atom.



What is the formula in the third record?
Na3Ga5Au2



Copy entry 1 word for word.
Material: Al2O3
Method: DFT, GGA-PBE
State: relaxed

a b c (Å): 5.158 2.814 7.665
angles (deg): 90.00 103.04 90.00
Space group C2/m (No. 12)
Symmetry-distinct sites (fractional):
Al  0.064  0.000  0.315 x4
O  0.000  0.500  0.500 x2
O  0.210  0.500  0.225 x4

## Properties
The calculated density is 3.1 g/cm³. For the raw formation energy, the calculation gives -2.823 eV/atom. The raw total energy is -7.295 eV per atom.



What is the calculated density in the third record?
6.2 g/cm³



Look up the calculated density of the fifth one.
6.7 g/cm³